1.
DFT (PBE) results for a relaxed Tl3GaBr6 crystal.

Summary:
* energy relative to the lowest polymorph listed for this composition: 0.066 eV/atom
* D(E_F): 0.0 states/eV/f.u.
* size of the total moment: 0.000 μB per atom
* raw formation energy: -771 kJ/mol of formula units

```
Tl3GaBr6
1.0
7.556 0.000 0.155
0.000 8.366 0.000
0.314 0.000 11.053
Tl Ga Br
6 2 12
Direct
0.532 0.925 0.761
0.500 0.500 0.000
0.468 0.075 0.239
0.032 0.575 0.261
0.000 0.000 0.500
0.968 0.425 0.739
0.500 0.500 0.500
0.000 0.000 0.000
0.717 0.163 0.963
0.657 0.240 0.567
0.614 0.449 0.280
0.386 0.551 0.720
0.343 0.760 0.433
0.283 0.837 0.037
0.217 0.337 0.463
0.157 0.260 0.067
0.114 0.051 0.780
0.886 0.949 0.220
0.843 0.740 0.933
0.783 0.663 0.537
```

=====

2.
DFT (PBE) results for a relaxed Er5Sn2Os crystal.

Summary:
* D(E_F): 5.6 states/eV/f.u.
* formation energy from the elements: -0.73 eV/f.u.
* size of the total moment: 0.000 μB per atom

```
Er5Sn2Os
1.0
-2.654 4.872 0.505
-1.011 -2.937 -7.700
-11.106 -6.456 3.920
Er Sn Os
10 4 2
Direct
0.947 0.894 0.884
0.947 0.894 0.616
0.283 0.565 0.408
0.283 0.565 0.092
0.709 0.419 0.250
0.291 0.581 0.750
0.717 0.435 0.592
0.717 0.435 0.908
0.053 0.106 0.116
0.053 0.106 0.384
0.858 0.716 0.415
0.858 0.716 0.085
0.142 0.284 0.585
0.142 0.284 0.915
0.825 0.649 0.750
0.175 0.351 0.250
```

=====

3.
DFT (PBE) results for a relaxed HoPd2Au6 crystal.

Summary:
* energy relative to the lowest polymorph listed for this composition: 0.000 eV/atom
* D(E_F): 2.8 states/eV/f.u.
* formation energy from the elements: -3.48 eV/f.u.
* size of the total moment: 0.000 μB per atom

```
HoPd2Au6
1.0
-3.269 -2.279 -0.978
1.473 -4.233 4.940
-2.166 5.620 2.753
Ho Pd Au
1 2 6
Direct
0.500 0.500 0.000
0.948 0.171 0.896
0.052 0.829 0.104
0.391 0.838 0.782
0.609 0.162 0.218
0.725 0.838 0.450
0.169 0.508 0.337
0.275 0.162 0.550
0.831 0.492 0.663
```

=====

4.
DFT (PBE) results for a relaxed Rb2YFeBr6 crystal.

Summary:
* D(E_F): 11.8 states/eV/f.u.
* size of the total moment: 0.300 μB per atom
* raw formation energy: -1301 kJ/mol of formula units

```
Rb2YFeBr6
1.0
-1.108 -2.006 7.389
5.556 -5.347 -0.618
5.948 0.013 4.945
Y Br Rb Fe
1 6 2 1
Direct
0.000 0.000 0.000
0.256 0.256 0.487
0.744 0.744 0.513
0.256 0.256 0.000
0.744 0.744 0.000
0.744 0.256 0.000
0.256 0.744 0.000
0.750 0.250 0.500
0.250 0.750 0.500
0.500 0.500 0.000
```

=====

5.
DFT (PBE) results for a relaxed In2Pb2Au3 crystal.

Summary:
* D(E_F): 2.1 states/eV/f.u.
* formation energy from the elements: -0.64 eV/f.u.
* size of the total moment: 0.000 μB per atom

```
In2Pb2Au3
1.0
-3.181 -3.027 -0.002
1.810 -1.898 -5.430
4.019 -1.043 8.561
In Pb Au
2 2 3
Direct
0.402 0.988 0.803
0.598 0.012 0.197
0.149 0.666 0.299
0.851 0.334 0.701
0.000 0.000 0.000
0.237 0.316 0.475
0.763 0.684 0.525
```

=====

6.
DFT (PBE) results for a relaxed NpBP2 crystal.

Summary:
* energy relative to the lowest polymorph listed for this composition: 0.000 eV/atom
* D(E_F): 5.4 states/eV/f.u.
* formation energy from the elements: -1.05 eV/f.u.
* size of the total moment: 0.919 μB per atom

```
NpBP2
1.0
-2.483 2.067 -1.009
-1.954 -1.114 2.529
4.126 3.356 2.402
Np B P
1 1 2
Direct
0.221 0.881 0.228
0.472 0.631 0.728
0.868 0.527 0.521
0.575 0.235 0.936
```

=====

7.
DFT (PBE) results for a relaxed AlTcAu2 crystal.

Summary:
* D(E_F): 2.4 states/eV/f.u.
* formation energy from the elements: -0.06 eV/f.u.
* size of the total moment: 0.000 μB per atom

```
AlTcAu2
1.0
9.152 -0.022 -0.013
8.701 2.838 -0.013
8.701 1.373 2.484
Au Tc Al
2 1 1
Direct
0.006 0.006 0.006
0.246 0.246 0.246
0.495 0.495 0.495
0.752 0.752 0.752
```

=====

8.
DFT (PBE) results for a relaxed TlBi2Au crystal.

Summary:
* D(E_F): 1.9 states/eV/f.u.
* formation energy from the elements: 0.33 eV/f.u.
* size of the total moment: 0.000 μB per atom

```
TlBi2Au
1.0
4.664 0.000 0.000
0.000 4.664 0.000
2.332 2.332 11.139
Tl Au Bi
2 2 4
Direct
0.000 0.000 0.000
0.750 0.250 0.500
0.500 0.500 0.000
0.250 0.750 0.500
0.588 0.125 0.250
0.162 0.625 0.250
0.375 0.412 0.750
0.875 0.838 0.750
```

=====

9.
DFT (PBE) results for a relaxed ScSCl2 crystal.

Summary:
* energy relative to the lowest polymorph listed for this composition: 0.442 eV/atom
* D(E_F): 3.9 states/eV/f.u.
* size of the total moment: 0.009 μB per atom
* raw formation energy: -331 kJ/mol of formula units

```
ScSCl2
1.0
1.955 0.000 9.987
-0.978 1.693 9.987
-0.978 -1.693 9.987
Sc S Cl
1 1 2
Direct
0.500 0.500 0.500
0.000 0.000 0.000
0.887 0.887 0.887
0.113 0.113 0.113
```

=====

10.
DFT (PBE) results for a relaxed Ac4ZnGe crystal.

Summary:
* D(E_F): 8.8 states/eV/f.u.
* formation energy from the elements: -1.10 eV/f.u.
* size of the total moment: 0.000 μB per atom

```
Ac4ZnGe
1.0
-5.041 -1.701 -0.929
1.826 -5.037 -0.684
-0.922 -1.352 7.471
Ac Zn Ge
4 1 1
Direct
0.501 0.997 0.249
0.501 0.997 0.748
0.001 0.497 0.748
0.001 0.497 0.249
0.001 0.997 0.498
0.501 0.497 0.998
```

=====

11.
DFT (PBE) results for a relaxed Pa3As3N2 crystal.

Summary:
* D(E_F): 0.9 states/eV/f.u.
* size of the total moment: 0.000 μB per atom
* raw formation energy: -963 kJ/mol of formula units

```
Pa3As3N2
1.0
3.855 0.000 0.000
-1.928 6.050 0.000
0.000 0.000 13.394
Pa As N
6 6 4
Direct
0.640 0.281 0.454
0.360 0.719 0.954
0.640 0.281 0.046
0.360 0.719 0.546
0.324 0.649 0.250
0.676 0.351 0.750
0.951 0.903 0.382
0.049 0.097 0.882
0.951 0.903 0.118
0.049 0.097 0.618
0.650 0.300 0.250
0.350 0.700 0.750
0.764 0.528 0.923
0.236 0.472 0.423
0.764 0.528 0.577
0.236 0.472 0.077
```

=====

12.
DFT (PBE) results for a relaxed Al2PbAu crystal.

Summary:
* D(E_F): 1.6 states/eV/f.u.
* formation energy from the elements: 0.60 eV/f.u.
* size of the total moment: 0.000 μB per atom

```
Al2PbAu
1.0
4.201 0.000 0.000
0.000 4.514 0.000
0.000 0.000 4.429
Pb Au Al
1 1 2
Direct
0.000 0.500 0.500
0.500 0.000 0.500
0.000 0.000 0.000
0.500 0.500 0.000
```

=====

Which of these has the highest size of the total moment?
NpBP2

=====

Which formula does entry 1 have?
Tl3GaBr6

=====

Please write out number 2 again, unchanged.
DFT (PBE) results for a relaxed Er5Sn2Os crystal.

Summary:
* D(E_F): 5.6 states/eV/f.u.
* formation energy from the elements: -0.73 eV/f.u.
* size of the total moment: 0.000 μB per atom

```
Er5Sn2Os
1.0
-2.654 4.872 0.505
-1.011 -2.937 -7.700
-11.106 -6.456 3.920
Er Sn Os
10 4 2
Direct
0.947 0.894 0.884
0.947 0.894 0.616
0.283 0.565 0.408
0.283 0.565 0.092
0.709 0.419 0.250
0.291 0.581 0.750
0.717 0.435 0.592
0.717 0.435 0.908
0.053 0.106 0.116
0.053 0.106 0.384
0.858 0.716 0.415
0.858 0.716 0.085
0.142 0.284 0.585
0.142 0.284 0.915
0.825 0.649 0.750
0.175 0.351 0.250
```

=====

D(E_F) of number 10 (Ac4ZnGe)?
8.8 states/eV/f.u.